Record 1
Entry from Alexandria: a geometry-optimized Dy8Zn2Tc structure (PBE).

abc: 4.9698 8.3071 8.4675
angles: 119.38 107.07 90.00
Positions (direct):
1 Dy 0.0000 0.6691 0.0000
2 Dy 0.6539 0.8803 0.3078
3 Dy 0.3461 0.1197 0.6922
4 Dy 0.0000 0.3309 0.0000
5 Dy 0.3461 0.5725 0.6922
6 Dy 0.8767 0.8767 0.7533
7 Dy 0.6539 0.4275 0.3078
8 Dy 0.1233 0.1233 0.2467
9 Zn 0.1958 0.6958 0.3916
10 Zn 0.8042 0.3042 0.6084
11 Tc 0.5000 0.0000 0.0000

Computed properties:
calculated volume	287	Å³ per cell
E above lowest polymorph	110.6	meV per atom
space-group type	Immm (71)
E_tot	-4.5429	eV/atom
E_form	-0.2	eV per formula unit

---

Record 2
Entry from Alexandria: a geometry-optimized Nd2Dy3HoSb6 structure (PBE).

abc: 4.4307 8.8560 9.9010
angles: 102.89 102.93 90.00
Positions (direct):
1 Sb 0.9972 0.2476 0.9943
2 Sb 0.3352 0.4118 0.6703
3 Sb 0.6648 0.5882 0.3297
4 Sb 0.6658 0.0764 0.3316
5 Sb 0.3342 0.9236 0.6684
6 Sb 0.0028 0.7524 0.0057
7 Nd 0.1657 0.3323 0.3315
8 Nd 0.8343 0.6677 0.6685
9 Dy 0.5000 0.5000 0.0000
10 Dy 0.1679 0.8338 0.3359
11 Dy 0.8321 0.1662 0.6641
12 Ho 0.5000 0.0000 0.0000

Computed properties:
calculated volume	369	Å³ per cell
space-group type	C2/m (12)
E_tot	-5.5311	eV/atom
formation energy (no corrections)	-110	kJ/mol of atoms

---

Record 3
Entry from Alexandria: a geometry-optimized La2Al3Pd4Au structure (PBE).

abc: 4.3557 4.3557 10.7062
angles: 90.00 90.00 90.00
Positions (direct):
1 La 0.0000 0.5000 0.7465
2 La 0.5000 0.0000 0.2535
3 Al 0.0000 0.5000 0.1161
4 Al 0.5000 0.0000 0.8839
5 Al 0.0000 0.0000 0.5000
6 Au 0.5000 0.5000 0.5000
7 Pd 0.0000 0.5000 0.3465
8 Pd 0.5000 0.5000 0.0000
9 Pd 0.5000 0.0000 0.6535
10 Pd 0.0000 0.0000 0.0000

Computed properties:
calculated volume	203	Å³ per cell
space-group type	P-4m2 (115)
E_tot	-5.3254	eV/atom
E_form	-8.1	eV per formula unit